(1)
VASP calculation (GGA-PBE) on an optimized crystal structure of Dy2CuTc3.

The structure in extended XYZ format:
```
12
Lattice="9.0893 0.0000 0.0000 0.0000 5.2289 0.0000 -3.0336 0.0000 4.5802" Properties=species:S:1:pos:R:3 pbc="T T T"
Dy -0.0011 0.0000 1.6796
Dy 1.5122 2.6145 2.9006
Dy 4.5435 2.6145 1.6796
Dy 6.0569 0.0000 2.9006
Cu -1.5168 2.6145 2.2901
Cu 3.0279 0.0000 2.2901
Tc 0.0000 2.6145 0.0000
Tc 2.2723 1.3072 0.0000
Tc 2.2723 3.9217 0.0000
Tc 4.5447 0.0000 0.0000
Tc 6.8170 1.3072 0.0000
Tc 6.8170 3.9217 0.0000
```

## Properties
Fermi-level density of states = 0.9340 states/eV per atom
Calculated formation energy = -0.19 eV/atom
SG = C2/m, No. 12
Crystal system = monoclinic

(2)
VASP calculation (GGA-PBE) on an optimized crystal structure of Sm3SbO6.

The structure in extended XYZ format:
```
20
Lattice="4.9656 2.8669 3.8695 -4.9656 2.8669 3.8695 0.0000 -5.7337 3.8695" Properties=species:S:1:pos:R:3 pbc="T T T"
Sm -3.4529 -0.9245 5.3182
Sm -0.9258 -3.4526 6.2903
Sm -2.5271 2.5280 6.2903
Sm 2.5271 -2.5280 5.3182
Sm 0.9258 3.4526 5.3182
Sm 3.4529 0.9245 6.2903
Sb 0.0000 0.0000 0.0000
Sb 0.0000 0.0000 5.8042
O -3.2484 -3.1078 6.2239
O -4.3156 1.2593 5.3846
O -1.2186 -1.6623 4.6924
O 1.0672 -4.3671 5.3846
O -2.0489 0.2242 6.9160
O -0.8303 1.8865 4.6924
O 0.8303 -1.8865 6.9160
O 2.0489 -0.2242 4.6924
O -1.0672 4.3671 6.2239
O 1.2186 1.6623 6.9160
O 4.3156 -1.2593 6.2239
O 3.2484 3.1078 5.3846
```

## Properties
Fermi-level density of states = 0.0000 states/eV per atom
Raw formation energy = -2.838 eV/atom
SG = R-3, No. 148
Crystal system = trigonal

(3)
VASP calculation (GGA-PBE) on an optimized crystal structure of Dy2Tm7Tc2.

The structure in extended XYZ format:
```
11
Lattice="-1.7566 9.4987 4.6241 1.7566 -9.4987 4.6241 1.7566 9.4987 -4.6241" Properties=species:S:1:pos:R:3 pbc="T T T"
Dy 0.0000 4.6438 0.0000
Dy 0.0000 14.3537 0.0000
Tm 1.7566 1.5483 -0.1284
Tm 1.7566 7.3220 -1.7892
Tm 0.0000 2.1767 2.8349
Tm 0.0000 9.4987 0.3685
Tm 1.7566 6.8890 1.8449
Tm 0.0000 2.6097 6.4691
Tm 0.0000 7.9504 4.4957
Tc 1.7566 0.0000 2.2020
Tc 0.0000 0.0000 7.2339
```

## Properties
Fermi-level density of states = 1.0027 states/eV per atom
Calculated formation energy = 0.06 eV/atom
SG = Imm2, No. 44
Crystal system = orthorhombic

(4)
VASP calculation (GGA-PBE) on an optimized crystal structure of Sm4BiN.

The structure in extended XYZ format:
```
12
Lattice="7.5727 -3.0402 0.0000 7.5727 3.0402 0.0000 -2.1266 0.0000 7.0176" Properties=species:S:1:pos:R:3 pbc="T T T"
Sm 0.6262 0.4409 3.0864
Sm -0.4371 -0.4409 6.5952
Sm 2.9039 0.3338 5.7256
Sm 3.9672 -0.3338 2.2168
Sm 9.0516 0.3338 4.8007
Sm 10.1149 -0.3338 1.2919
Sm 13.4559 0.4409 0.4224
Sm 12.3926 -0.4409 3.9312
Bi 7.0410 0.6548 1.7544
Bi 5.9777 -0.6548 5.2632
N 2.7230 1.5201 3.5088
N 3.7863 -1.5201 0.0000
```

## Properties
Fermi-level density of states = 0.8990 states/eV per atom
Raw formation energy = -0.704 eV/atom
SG = C2/c, No. 15
Crystal system = monoclinic

(5)
VASP calculation (GGA-PBE) on an optimized crystal structure of NdSiNi2H.

The structure in extended XYZ format:
```
10
Lattice="1.8956 -5.2609 0.0000 1.8956 5.2609 0.0000 0.0000 0.0000 6.7452" Properties=species:S:1:pos:R:3 pbc="T T T"
Nd 1.8956 4.6315 5.0589
Nd 1.8956 -4.6315 1.6863
Si 1.8956 2.9256 1.6863
Si 1.8956 -2.9256 5.0589
Ni 1.8956 1.7834 3.7734
Ni 1.8956 1.7834 6.3443
Ni 1.8956 -1.7834 0.4008
Ni 1.8956 -1.7834 2.9718
H 1.8956 0.0000 0.0000
H 1.8956 0.0000 3.3726
```

## Properties
Fermi-level density of states = 0.4065 states/eV per atom
Uncorrected energy = -5.686 eV/atom
SG = Cmcm, No. 63
Crystal system = orthorhombic

(6)
VASP calculation (GGA-PBE) on an optimized crystal structure of Li5As3Cl12.

The structure in extended XYZ format:
```
80
Lattice="-7.7383 7.7383 7.7383 7.7383 -7.7383 7.7383 7.7383 7.7383 -7.7383" Properties=species:S:1:pos:R:3 pbc="T T T"
Li 0.0000 0.0000 0.0000
Li 3.8692 3.8692 -3.8692
Li 3.8692 -3.8692 3.8692
Li 7.7383 0.0000 0.0000
Li 11.6075 1.9346 0.0000
Li 7.7383 -3.8692 5.8037
Li 5.8037 7.7383 -3.8692
Li 5.8037 0.0000 3.8692
Li 3.8692 5.8037 0.0000
Li 7.7383 3.8692 1.9346
Li -3.8692 3.8692 3.8692
Li 0.0000 7.7383 0.0000
Li 0.0000 0.0000 7.7383
Li 3.8692 3.8692 3.8692
Li 0.0000 3.8692 5.8037
Li 3.8692 1.9346 7.7383
Li 1.9346 7.7383 3.8692
Li 1.9346 0.0000 11.6075
Li 0.0000 11.6075 1.9346
Li -3.8692 5.8037 7.7383
As 3.8692 1.9346 0.0000
As 7.7383 3.8692 -1.9346
As 1.9346 0.0000 3.8692
As 9.6729 0.0000 3.8692
As 0.0000 3.8692 1.9346
As 3.8692 -1.9346 7.7383
As 3.8692 9.6729 0.0000
As 7.7383 3.8692 5.8037
As -1.9346 7.7383 3.8692
As 5.8037 7.7383 3.8692
As 0.0000 3.8692 9.6729
As 3.8692 5.8037 7.7383
Cl 2.4562 -0.1374 0.6720
Cl 9.1513 4.5412 -4.0066
Cl 10.1946 0.1374 0.6720
Cl 9.1513 -3.1971 4.0066
Cl 7.6009 -0.6720 2.4562
Cl 11.7449 -1.4129 3.1971
Cl 0.6720 2.4562 -0.1374
Cl 10.9355 3.7317 -1.4129
Cl 4.5412 4.0066 -1.4129
Cl 7.0663 2.4562 0.1374
Cl -0.1374 0.6720 2.4562
Cl 4.0066 -1.4129 4.5412
Cl 7.6009 7.0663 -2.4562
Cl 4.0066 1.4129 3.1971
Cl 4.5412 -4.0066 9.1513
Cl 7.0663 -2.4562 7.6009
Cl 3.1971 4.0066 1.4129
Cl 8.4104 5.2821 0.1374
Cl 4.0066 9.1513 -3.1971
Cl 7.6009 0.6720 5.2821
Cl 2.4562 7.6009 -0.6720
Cl 9.1513 3.1971 3.7317
Cl 1.4129 3.1971 4.0066
Cl 2.4562 0.1374 7.0663
Cl 5.2821 7.6009 0.6720
Cl 6.3254 4.5412 3.7317
Cl -1.4129 4.5412 4.0066
Cl 5.2821 0.1374 8.4104
Cl 0.1374 7.0663 2.4562
Cl 3.7317 -1.4129 10.9355
Cl -0.6720 2.4562 7.6009
Cl 4.5412 3.7317 6.3254
Cl 0.6720 10.1946 0.1374
Cl 3.1971 11.7449 -1.4129
Cl 3.7317 6.3254 4.5412
Cl 0.1374 0.6720 10.1946
Cl 3.7317 9.1513 3.1971
Cl 7.8758 7.0663 5.2821
Cl 0.6720 5.2821 7.6009
Cl 3.1971 3.7317 9.1513
Cl -3.1971 4.0066 9.1513
Cl 7.0663 5.2821 7.8758
Cl -4.0066 9.1513 4.5412
Cl 0.1374 8.4104 5.2821
Cl -1.4129 10.9355 3.7317
Cl -2.4562 7.6009 7.0663
Cl -1.4129 3.1971 11.7449
Cl 5.2821 7.8758 7.0663
```

## Properties
Fermi-level density of states = 0.0221 states/eV per atom
Raw formation energy = -0.960 eV/atom
SG = Ia-3d, No. 230
Crystal system = cubic

(7)
VASP calculation (GGA-PBE) on an optimized crystal structure of Pm12Mg3Pt5.

The structure in extended XYZ format:
```
80
Lattice="-8.8659 8.8659 8.8659 8.8659 -8.8659 8.8659 8.8659 8.8659 -8.8659" Properties=species:S:1:pos:R:3 pbc="T T T"
Pm 2.6026 -0.4734 1.0960
Pm 10.6963 5.5289 -4.9063
Pm 8.3925 -1.0960 2.6026
Pm 13.7722 -1.8304 3.3370
Pm 11.4685 0.4734 1.0960
Pm 10.6963 -3.3370 4.9063
Pm 1.0960 2.6026 -0.4734
Pm 12.2029 3.9596 -1.8304
Pm 5.5289 4.9063 -1.8304
Pm 7.7699 2.6026 0.4734
Pm -0.4734 1.0960 2.6026
Pm 4.9063 -1.8304 5.5289
Pm 8.3925 7.7699 -2.6026
Pm 4.9063 1.8304 3.3370
Pm 7.7699 -2.6026 8.3925
Pm 5.5289 -4.9063 10.6963
Pm 3.3370 4.9063 1.8304
Pm 9.9619 6.2633 0.4734
Pm 2.6026 8.3925 -1.0960
Pm 10.6963 3.3370 3.9596
Pm 4.9063 10.6963 -3.3370
Pm 8.3925 1.0960 6.2633
Pm 1.8304 3.3370 4.9063
Pm 2.6026 0.4734 7.7699
Pm 6.2633 8.3925 1.0960
Pm 7.0355 5.5289 3.9596
Pm 0.4734 7.7699 2.6026
Pm 3.9596 -1.8304 12.2029
Pm -1.8304 5.5289 4.9063
Pm 6.2633 0.4734 9.9619
Pm -1.0960 2.6026 8.3925
Pm 5.5289 3.9596 7.0355
Pm 3.3370 13.7722 -1.8304
Pm 1.0960 11.4685 0.4734
Pm 3.9596 7.0355 5.5289
Pm 0.4734 1.0960 11.4685
Pm 3.9596 10.6963 3.3370
Pm 9.3393 7.7699 6.2633
Pm 1.0960 6.2633 8.3925
Pm 3.3370 3.9596 10.6963
Pm -3.3370 4.9063 10.6963
Pm 7.7699 6.2633 9.3393
Pm -1.8304 12.2029 3.9596
Pm -2.6026 8.3925 7.7699
Pm -4.9063 10.6963 5.5289
Pm 0.4734 9.9619 6.2633
Pm -1.8304 3.3370 13.7722
Pm 6.2633 9.3393 7.7699
Mg 4.4329 2.2165 0.0000
Mg 8.8659 4.4329 -2.2165
Mg 2.2165 0.0000 4.4329
Mg 11.0824 0.0000 4.4329
Mg 0.0000 4.4329 2.2165
Mg 4.4329 -2.2165 8.8659
Mg 4.4329 11.0824 0.0000
Mg 8.8659 4.4329 6.6494
Mg -2.2165 8.8659 4.4329
Mg 6.6494 8.8659 4.4329
Mg 0.0000 4.4329 11.0824
Mg 4.4329 6.6494 8.8659
Pt 0.0000 0.0000 0.0000
Pt 4.4329 4.4329 -4.4329
Pt 4.4329 -4.4329 4.4329
Pt 8.8659 0.0000 0.0000
Pt 13.2988 2.2165 0.0000
Pt 8.8659 -4.4329 6.6494
Pt 6.6494 8.8659 -4.4329
Pt 6.6494 0.0000 4.4329
Pt 4.4329 6.6494 0.0000
Pt 8.8659 4.4329 2.2165
Pt -4.4329 4.4329 4.4329
Pt 0.0000 8.8659 0.0000
Pt 0.0000 0.0000 8.8659
Pt 4.4329 4.4329 4.4329
Pt 0.0000 4.4329 6.6494
Pt 4.4329 2.2165 8.8659
Pt 2.2165 8.8659 4.4329
Pt 2.2165 0.0000 13.2988
Pt 0.0000 13.2988 2.2165
Pt -4.4329 6.6494 8.8659
```

## Properties
Fermi-level density of states = 1.3928 states/eV per atom
Calculated formation energy = -0.23 eV/atom
SG = Ia-3d, No. 230
Crystal system = cubic

(8)
VASP calculation (GGA-PBE) on an optimized crystal structure of HfMgCuNi.

The structure in extended XYZ format:
```
16
Lattice="6.2851 0.0000 0.0000 0.0000 6.2851 0.0000 0.0000 0.0000 6.2851" Properties=species:S:1:pos:R:3 pbc="T T T"
Hf 0.0000 0.0000 0.0000
Hf 0.0000 3.1426 3.1426
Hf 3.1426 0.0000 3.1426
Hf 3.1426 3.1426 0.0000
Mg 0.0000 0.0000 3.1426
Mg 0.0000 3.1426 0.0000
Mg 3.1426 0.0000 0.0000
Mg 3.1426 3.1426 3.1426
Cu 1.5713 1.5713 4.7139
Cu 1.5713 4.7139 1.5713
Cu 4.7139 1.5713 1.5713
Cu 4.7139 4.7139 4.7139
Ni 1.5713 1.5713 1.5713
Ni 1.5713 4.7139 4.7139
Ni 4.7139 1.5713 4.7139
Ni 4.7139 4.7139 1.5713
```

## Properties
Fermi-level density of states = 0.9763 states/eV per atom
Calculated formation energy = -0.24 eV/atom
SG = F-43m, No. 216
Crystal system = cubic

What is the Fermi-level density of states in the first record? 0.9340 states/eV per atom